DFT (GGA-PBE) results for an optimized crystal structure of Zn2InOs.

Cell: 3.018 4.802 9.628 Å, 90.00 90.00 90.00°
Space group Cmmm (No. 65)
Asymmetric unit:
Zn  0.000  0.000  0.218
In  0.000  0.500  0.500
Os  0.000  0.500  0.000

Calculated values
For the energy of formation from the pure elements, the calculation gives 0.417 eV/atom. Its energy is -29.70 eV per cell.